DFT (PBE-GGA) results for an optimized crystal structure of HfTi3Re.

- space-group type = No. 221
- D(E_F) (states/eV per atom) = 1.497
- spin magnetization (μB/cell) = 0.00
- crystal system = cubic
- ΔH_f (0 K) (meV/atom) = 1675
- energy relative to the lowest polymorph listed for this composition (meV per atom) = 1664

Unit cell a=4.637 b=4.637 c=4.637 alpha=90.00 beta=90.00 gamma=90.00
Fractional positions:
Re1 0.500 0.500 0.500
Hf1 0.000 0.000 0.000
Ti1 0.000 0.500 0.000
Ti2 0.000 0.000 0.500
Ti3 0.500 0.000 0.000

DFT (PBE-GGA) results for an optimized crystal structure of Hf2Ti2Re.

- space-group type = No. 127
- D(E_F) (states/eV per atom) = 0.980
- spin magnetization (μB/cell) = 0.00
- crystal system = tetragonal
- ΔH_f (0 K) (meV/atom) = 386
- energy relative to the lowest polymorph listed for this composition (meV per atom) = 344

Unit cell a=7.142 b=7.142 c=3.789 alpha=90.00 beta=90.00 gamma=90.00
Fractional positions:
Re1 0.000 0.000 0.000
Re2 0.500 0.500 0.000
Hf1 0.344 0.844 0.000
Hf2 0.844 0.656 0.000
Hf3 0.656 0.156 0.000
Hf4 0.156 0.344 0.000
Ti1 0.145 0.645 0.500
Ti2 0.645 0.855 0.500
Ti3 0.855 0.355 0.500
Ti4 0.355 0.145 0.500

ΔH_f (0 K) of number 1 (HfTi3Re)?
1675 meV/atom

Which of these has the lowest energy relative to the lowest polymorph listed for this composition?
Hf2Ti2Re

energy relative to the lowest polymorph listed for this composition of number 2 (Hf2Ti2Re)?
344 meV per atom